No. 1
Er2AlSnPt4 | PBE-GGA | relaxed

Cell lengths 4.4497, 4.4497, 9.0807 Å; angles 90.00, 90.00, 120.00 degrees
Closest atoms and distances in Å follow each position.
Fractional coordinates of all 8 atoms:
Er (0.3333, 0.6667, 0.2449)  8 Pt 2.95-3.19
Er (0.6667, 0.3333, 0.7551)  8 Pt 2.95-3.19
Al (0.0000, 0.0000, 0.0000)  6 Pt 2.67
Sn (0.0000, 0.0000, 0.5000)  6 Pt 2.71
Pt (0.3333, 0.6667, 0.5961)  3 Sn 2.71, 1 Pt 2.94, 3 Er 2.95
Pt (0.3333, 0.6667, 0.9194)  3 Al 2.67, 4 Pt 2.94-2.96, 4 Er 2.96-2.97
Pt (0.6667, 0.3333, 0.0806)  3 Al 2.67, 4 Pt 2.94-2.96, 4 Er 2.96-2.97
Pt (0.6667, 0.3333, 0.4039)  3 Sn 2.71, 1 Pt 2.94, 3 Er 2.95

Output
DFT total energy, eV per formula unit: -49.9
Total magnetic moment, μB per atom: 0.00
Symmetry: P-3m1 (164)

=====

No. 2
TbErAl2Pt4 | PBE-GGA | relaxed

Cell lengths 4.3377, 4.3377, 9.2225 Å; angles 90.00, 90.00, 120.00 degrees
Closest atoms and distances in Å follow each position.
Fractional coordinates of all 8 atoms:
Tb (0.0000, 0.0000, 0.0000)  8 Pt 2.95-3.11
Er (0.6667, 0.3333, 0.5000)  8 Pt 2.92-3.05
Al (0.3333, 0.6667, 0.2513)  6 Pt 2.62-2.63
Al (0.3333, 0.6667, 0.7487)  6 Pt 2.62-2.63
Pt (0.0000, 0.0000, 0.3370)  3 Al 2.63, 3 Er 2.92
Pt (0.0000, 0.0000, 0.6630)  3 Al 2.63, 3 Er 2.92
Pt (0.6667, 0.3333, 0.1690)  3 Al 2.62
Pt (0.6667, 0.3333, 0.8310)  3 Al 2.62

Output
DFT total energy, eV per formula unit: -50.5
Total magnetic moment, μB per atom: 0.00
Symmetry: P-6m2 (187)

=====

No. 3
ErTmAl2Pt4 | PBE-GGA | relaxed

Cell lengths 4.3274, 4.3274, 9.1467 Å; angles 90.00, 90.00, 120.00 degrees
Closest atoms and distances in Å follow each position.
Fractional coordinates of all 8 atoms:
Er (0.0000, 0.0000, 0.0000)  8 Pt 2.92-3.08
Tm (0.3333, 0.6667, 0.5000)  8 Pt 2.91-3.06
Al (0.6667, 0.3333, 0.2504)  6 Pt 2.62
Al (0.6667, 0.3333, 0.7496)  6 Pt 2.62
Pt (0.0000, 0.0000, 0.3366)  3 Al 2.62, 3 Tm 2.91
Pt (0.0000, 0.0000, 0.6634)  3 Al 2.62, 3 Tm 2.91
Pt (0.3333, 0.6667, 0.1653)  3 Al 2.62, 3 Er 2.92
Pt (0.3333, 0.6667, 0.8347)  3 Al 2.62, 3 Er 2.92

Output
DFT total energy, eV per formula unit: -50.4
Total magnetic moment, μB per atom: 0.00
Symmetry: P-6m2 (187)

=====

No. 4
ErZrAl2Pt4 | PBE-GGA | relaxed

Cell lengths 4.3120, 4.3120, 8.9567 Å; angles 90.00, 90.00, 120.00 degrees
Closest atoms and distances in Å follow each position.
Fractional coordinates of all 8 atoms:
Er (0.0000, 0.0000, 0.0000)  8 Pt 2.92-3.07
Zr (0.3333, 0.6667, 0.5000)  8 Pt 2.86-2.95
Al (0.6667, 0.3333, 0.2534)  6 Pt 2.60-2.61
Al (0.6667, 0.3333, 0.7466)  6 Pt 2.60-2.61
Pt (0.0000, 0.0000, 0.3425)  3 Al 2.61, 4 Pt 2.82-2.93, 3 Zr 2.86
Pt (0.0000, 0.0000, 0.6575)  3 Al 2.61, 4 Pt 2.82-2.93, 3 Zr 2.86
Pt (0.3333, 0.6667, 0.1707)  3 Al 2.60
Pt (0.3333, 0.6667, 0.8293)  3 Al 2.60

Output
DFT total energy, eV per formula unit: -54.1
Total magnetic moment, μB per atom: 0.00
Symmetry: P-6m2 (187)

=====

No. 5
RbErAlSe3 | PBE-GGA | relaxed

Cell lengths 7.9407, 7.9407, 10.8975 Å; angles 90.00, 90.00, 148.59 degrees
Closest atoms and distances in Å follow each position.
Fractional coordinates of all 12 atoms:
Rb (0.2420, 0.7580, 0.7500)  8 Se 3.57-3.92
Rb (0.7580, 0.2420, 0.2500)  8 Se 3.57-3.92
Er (0.5000, 0.5000, 0.0000)  6 Se 2.86-2.94
Er (0.5000, 0.5000, 0.5000)  6 Se 2.86-2.94
Al (0.0292, 0.9708, 0.2500)  4 Se 2.44-2.51
Al (0.9708, 0.0292, 0.7500)  4 Se 2.44-2.51
Se (0.1219, 0.8781, 0.0673)  1 Al 2.44
Se (0.1219, 0.8781, 0.4327)  1 Al 2.44
Se (0.4441, 0.5559, 0.2500)  2 Al 2.51
Se (0.5559, 0.4441, 0.7500)  2 Al 2.51
Se (0.8781, 0.1219, 0.5673)  1 Al 2.44
Se (0.8781, 0.1219, 0.9327)  1 Al 2.44

Output
DFT total energy, eV per formula unit: -27.2
Total magnetic moment, μB per atom: 0.07
Symmetry: Cmcm (63)

=====

No. 6
ErAl8Re4 | PBE-GGA | relaxed

Cell lengths 6.8988, 6.8988, 6.8988 Å; angles 98.16, 98.16, 135.75 degrees
Closest atoms and distances in Å follow each position.
Fractional coordinates of all 13 atoms:
Er (0.0000, 0.0000, 0.0000)  12 Al 3.12-3.23, 8 Re 3.45
Al (0.0000, 0.3452, 0.3452)  4 Re 2.74, 5 Al 2.80-2.95
Al (0.0000, 0.6548, 0.6548)  4 Re 2.74, 5 Al 2.80-2.95
Al (0.2870, 0.5000, 0.7870)  4 Re 2.63, 4 Al 2.72-2.86
Al (0.3452, 0.0000, 0.3452)  4 Re 2.74, 5 Al 2.80-2.95
Al (0.5000, 0.2870, 0.7870)  4 Re 2.63, 4 Al 2.72-2.86
Al (0.5000, 0.7130, 0.2130)  4 Re 2.63, 4 Al 2.72-2.86
Al (0.6548, 0.0000, 0.6548)  4 Re 2.74, 5 Al 2.80-2.95
Al (0.7130, 0.5000, 0.2130)  4 Re 2.63, 4 Al 2.72-2.86
Re (0.0000, 0.0000, 0.5000)  2 Re 2.60, 8 Al 2.63-2.74
Re (0.0000, 0.5000, 0.0000)  2 Re 2.60, 8 Al 2.63-2.74
Re (0.5000, 0.0000, 0.0000)  2 Re 2.60, 8 Al 2.63-2.74
Re (0.5000, 0.5000, 0.5000)  2 Re 2.60, 8 Al 2.63-2.74

Output
DFT total energy, eV per formula unit: -88.9
Total magnetic moment, μB per atom: 0.00
Symmetry: I4/mmm (139)

=====

No. 7
ErScAl | PBE-GGA | relaxed

Cell lengths 4.9112, 4.9112, 4.9112 Å; angles 60.00, 60.00, 60.00 degrees
Closest atoms and distances in Å follow each position.
Fractional coordinates of all 3 atoms:
Er (0.0000, 0.0000, 0.0000)  4 Sc 3.01, 4 Al 3.01
Sc (0.2500, 0.2500, 0.2500)  4 Er 3.01
Al (0.7500, 0.7500, 0.7500)  4 Er 3.01

Output
Energy above the lowest structure with this stoichiometry, kJ/mol of formula units: 36
DFT total energy, eV per formula unit: -13.0
Total magnetic moment, μB per atom: 0.01
Symmetry: F-43m (216)

=====

No. 8
ErScAl4 | PBE-GGA | relaxed

Cell lengths 4.2555, 6.8018, 6.8018 Å; angles 36.19, 90.00, 90.00 degrees
Closest atoms and distances in Å follow each position.
Fractional coordinates of all 6 atoms:
Er (0.0000, 0.0000, 0.0000)  10 Al 2.97-3.14, 2 Sc 3.23
Sc (0.0000, 0.3106, 0.3106)  10 Al 2.86-3.07
Al (0.0000, 0.6614, 0.6614)  2 Sc 2.86, 2 Er 2.97, 8 Al 2.97-3.15
Al (0.5000, 0.1598, 0.1598)  2 Sc 2.89, 2 Er 2.97, 8 Al 2.98-3.13
Al (0.5000, 0.4815, 0.4815)  6 Al 2.95-3.15, 4 Er 3.01, 2 Sc 3.07
Al (0.5000, 0.8218, 0.8218)  6 Al 2.95-2.98, 4 Sc 3.00, 2 Er 3.14

Output
DFT total energy, eV per formula unit: -28.3
Total magnetic moment, μB per atom: 0.00
Symmetry: Amm2 (38)

=====

No. 9
ErScAl | PBE-GGA | relaxed

Cell lengths 4.8691, 4.8691, 4.8691 Å; angles 60.00, 60.00, 60.00 degrees
Closest atoms and distances in Å follow each position.
Fractional coordinates of all 3 atoms:
Er (0.0000, 0.0000, 0.0000)  4 Sc 2.98
Sc (0.7500, 0.7500, 0.7500)  4 Al 2.98, 4 Er 2.98
Al (0.5000, 0.5000, 0.5000)  4 Sc 2.98

Output
Energy above the lowest structure with this stoichiometry, kJ/mol of formula units: 0
DFT total energy, eV per formula unit: -13.4
Total magnetic moment, μB per atom: 0.00
Symmetry: F-43m (216)

=====

No. 10
ErAl5Se3 | PBE-GGA | relaxed

Cell lengths 5.9623, 5.9935, 6.4567 Å; angles 74.26, 79.76, 82.11 degrees
Closest atoms and distances in Å follow each position.
Fractional coordinates of all 9 atoms:
Er (0.0000, 0.0000, 0.0000)  3 Se 2.80-2.97, 2 Al 2.94-2.96
Al (0.2054, 0.7392, 0.6037)  2 Se 2.53-2.54, 2 Al 2.57-2.64
Al (0.4391, 0.7172, 0.9206)  2 Se 2.52-2.54, 2 Al 2.57-2.64
Al (0.4493, 0.8997, 0.2348)  3 Al 2.57-2.82, 1 Se 2.58
Al (0.6166, 0.3070, 0.6327)  3 Se 2.47-2.66, 1 Al 2.60
Al (0.8300, 0.5648, 0.2827)  2 Al 2.60-2.82
Se (0.2048, 0.3136, 0.6196)  2 Al 2.47-2.53
Se (0.6004, 0.2995, 0.0489)  3 Al 2.52-2.66, 1 Er 2.80
Se (0.7842, 0.8866, 0.6656)  3 Al 2.54-2.55

Output
DFT total energy, eV per formula unit: -36.8
Total magnetic moment, μB per atom: 0.00
Symmetry: P1 (1)

=====

No. 11
Er2AlSi | PBE-GGA | relaxed

Cell lengths 3.9467, 5.7651, 5.7651 Å; angles 43.89, 90.00, 90.00 degrees
Closest atoms and distances in Å follow each position.
Fractional coordinates of all 4 atoms:
Er (0.0000, 0.0000, 0.0000)  4 Al 3.01, 3 Si 3.02-3.17
Er (0.5000, 0.2811, 0.2811)  4 Si 3.00, 3 Al 3.07-3.14
Al (0.5000, 0.5679, 0.5679)  2 Si 2.54
Si (0.0000, 0.7177, 0.7177)  2 Al 2.54

Output
DFT total energy, eV per formula unit: -20.9
Total magnetic moment, μB per atom: 0.01
Symmetry: Amm2 (38)

=====

No. 12
Er3AlSi3 | PBE-GGA | relaxed

Cell lengths 5.7010, 5.7010, 13.4958 Å; angles 107.50, 107.50, 43.03 degrees
Closest atoms and distances in Å follow each position.
Fractional coordinates of all 14 atoms:
Er (0.0149, 0.0149, 0.3750)  6 Si 2.94-3.04, 3 Al 3.05-3.08
Er (0.1083, 0.1083, 0.9229)  7 Si 2.90-3.11
Er (0.2374, 0.2374, 0.2246)  6 Si 2.92-3.11, 2 Al 3.06
Er (0.7626, 0.7626, 0.7754)  6 Si 2.92-3.11, 2 Al 3.06
Er (0.8917, 0.8917, 0.0771)  7 Si 2.90-3.11
Er (0.9851, 0.9851, 0.6250)  6 Si 2.94-3.04, 3 Al 3.05-3.08
Al (0.2662, 0.2662, 0.6105)  4 Si 2.54-2.66
Al (0.7338, 0.7338, 0.3895)  4 Si 2.54-2.66
Si (0.3715, 0.3715, 0.4561)  3 Al 2.54-2.66, 1 Si 2.60
Si (0.3918, 0.3918, 0.9249)  2 Si 2.47-2.52
Si (0.4794, 0.4794, 0.7764)  1 Si 2.47, 1 Al 2.62
Si (0.5206, 0.5206, 0.2236)  1 Si 2.47, 1 Al 2.62
Si (0.6082, 0.6082, 0.0751)  2 Si 2.47-2.52
Si (0.6285, 0.6285, 0.5439)  3 Al 2.54-2.66, 1 Si 2.60

Output
DFT total energy, eV per formula unit: -38.6
Total magnetic moment, μB per atom: 0.00
Symmetry: C2/m (12)

=====

No. 13
YErAl3Si2 | PBE-GGA | relaxed

Cell lengths 5.4602, 5.4602, 6.6056 Å; angles 100.14, 100.14, 43.42 degrees
Closest atoms and distances in Å follow each position.
Fractional coordinates of all 7 atoms:
Y (0.0000, 0.0000, 0.0000)  5 Si 2.88-3.00, 5 Al 3.02-3.20
Er (0.7608, 0.7608, 0.3552)  5 Si 2.88-3.00, 5 Al 3.01-3.20
Al (0.0756, 0.0756, 0.5436)  2 Si 2.60, 2 Al 2.77
Al (0.3794, 0.3794, 0.6766)  2 Si 2.71-2.73, 2 Er 3.01, 2 Y 3.02
Al (0.6856, 0.6856, 0.8100)  2 Si 2.61, 2 Al 2.77
Si (0.2873, 0.2873, 0.0385)  1 Si 2.38, 2 Al 2.61
Si (0.4733, 0.4733, 0.3191)  1 Si 2.38, 2 Al 2.60

Output
DFT total energy, eV per formula unit: -36.9
Total magnetic moment, μB per atom: 0.00
Symmetry: Cm (8)